Record 1
Material: LaMg2As
Method: DFT, GGA-PBE
State: relaxed

space-group type = Cm
spin magnetization = 0.0 μB/cell
DOS at the Fermi energy = 2.26 states/eV per cell

Cell: 7.977 4.632 6.086 Å, 90.00 116.03 90.00°
Element x y z (fractional)
1 La 0.000 0.000 0.000
2 La 0.500 0.500 0.000
3 Mg 0.221 0.000 0.662
4 Mg 0.491 0.000 0.470
5 Mg 0.721 0.500 0.662
6 Mg 0.991 0.500 0.470
7 As 0.282 0.500 0.343
8 As 0.782 0.000 0.343

Record 2
Material: LaMgAs4
Method: DFT, GGA-PBE
State: relaxed

space-group type = F-43m
spin magnetization = 0.0 μB/cell
DOS at the Fermi energy = 3.77 states/eV per cell

Cell: 5.741 5.741 5.741 Å, 60.00 60.00 60.00°
Element x y z (fractional)
1 La 0.000 0.000 0.000
2 Mg 0.750 0.750 0.750
3 As 0.378 0.378 0.378
4 As 0.378 0.378 0.865
5 As 0.378 0.865 0.378
6 As 0.865 0.378 0.378

Record 3
Material: LaMgAs
Method: DFT, GGA-PBE
State: relaxed

space-group type = F-43m
spin magnetization = 0.0 μB/cell
energy above the most stable polymorph in this dataset = 549 meV/atom
DOS at the Fermi energy = 4.78 states/eV per cell

Cell: 7.190 7.190 7.190 Å, 90.00 90.00 90.00°
Element x y z (fractional)
1 La 0.000 0.000 0.000
2 La 0.000 0.500 0.500
3 La 0.500 0.000 0.500
4 La 0.500 0.500 0.000
5 Mg 0.250 0.250 0.250
6 Mg 0.250 0.750 0.750
7 Mg 0.750 0.250 0.750
8 Mg 0.750 0.750 0.250
9 As 0.250 0.250 0.750
10 As 0.250 0.750 0.250
11 As 0.750 0.250 0.250
12 As 0.750 0.750 0.750

Record 4
Material: LaMg2As2
Method: DFT, GGA-PBE
State: relaxed

space-group type = P4/mbm
spin magnetization = 0.0 μB/cell
DOS at the Fermi energy = 5.28 states/eV per cell

Cell: 7.991 7.991 3.647 Å, 90.00 90.00 90.00°
Element x y z (fractional)
1 La 0.000 0.000 0.000
2 La 0.500 0.500 0.000
3 Mg 0.137 0.363 0.500
4 Mg 0.363 0.863 0.500
5 Mg 0.637 0.137 0.500
6 Mg 0.863 0.637 0.500
7 As 0.156 0.656 0.000
8 As 0.344 0.156 0.000
9 As 0.656 0.844 0.000
10 As 0.844 0.344 0.000

Record 5
Material: LaMg4As
Method: DFT, GGA-PBE
State: relaxed

space-group type = F-43m
spin magnetization = 0.0 μB/cell
DOS at the Fermi energy = 2.81 states/eV per cell

Cell: 5.970 5.970 5.970 Å, 60.00 60.00 60.00°
Element x y z (fractional)
1 La 0.000 0.000 0.000
2 Mg 0.128 0.624 0.624
3 Mg 0.624 0.128 0.624
4 Mg 0.624 0.624 0.128
5 Mg 0.624 0.624 0.624
6 As 0.250 0.250 0.250

Record 6
Material: LaMgAs
Method: DFT, GGA-PBE
State: relaxed

space-group type = F-43m
spin magnetization = 0.0 μB/cell
energy above the most stable polymorph in this dataset = 261 meV/atom
DOS at the Fermi energy = 9.34 states/eV per cell

Cell: 6.912 6.912 6.912 Å, 90.00 90.00 90.00°
Element x y z (fractional)
1 La 0.000 0.000 0.000
2 La 0.000 0.500 0.500
3 La 0.500 0.000 0.500
4 La 0.500 0.500 0.000
5 Mg 0.000 0.000 0.500
6 Mg 0.000 0.500 0.000
7 Mg 0.500 0.000 0.000
8 Mg 0.500 0.500 0.500
9 As 0.250 0.250 0.750
10 As 0.250 0.750 0.250
11 As 0.750 0.250 0.250
12 As 0.750 0.750 0.750

Results for energy of formation: -171 -160 -90 -291 1 -173 (in kJ/mol of formula units, following the order of the records).